No. 1
First-principles (PBE) data for a relaxed structure of TaVPd2C, as listed in the Alexandria database.

Cell: 4.102 4.271 4.102 Å, 90.00 90.00 90.00°
Atoms (fractional coordinates):
Pd  0.500  0.000  0.000
Pd  0.000  0.000  0.500
V  0.500  0.500  0.500
Ta  0.000  0.500  0.000
C  0.000  0.000  0.000

Results
The energy relative to the lowest polymorph listed for this composition is 0.0 meV/atom. For the total energy, the calculation gives -7.886 eV/atom. The space-group type is No. 123. The volume is 14.376 Å³/atom.

---

No. 2
First-principles (PBE) data for a relaxed structure of Ta2VPdC, as listed in the Alexandria database.

Cell: 4.303 4.303 3.926 Å, 90.00 90.00 90.00°
Atoms (fractional coordinates):
Pd  0.500  0.500  0.500
V  0.000  0.000  0.500
Ta  0.500  0.000  0.000
Ta  0.000  0.500  0.000
C  0.000  0.000  0.000

Results
For the total energy, the calculation gives -9.737 eV/atom. The space-group type is No. 123. The volume is 14.539 Å³/atom.

---

No. 3
First-principles (PBE) data for a relaxed structure of TaZnPd2C, as listed in the Alexandria database.

Cell: 4.753 3.569 4.753 Å, 90.00 90.00 90.00°
Atoms (fractional coordinates):
Zn  0.000  0.000  0.000
C  0.000  0.500  0.000
Pd  0.000  0.000  0.500
Pd  0.500  0.000  0.000
Ta  0.500  0.500  0.500

Results
For the total energy, the calculation gives -5.260 eV/atom. The space-group type is No. 123. The volume is 16.128 Å³/atom.

---

No. 4
First-principles (PBE) data for a relaxed structure of Tb3PdC, as listed in the Alexandria database.

Cell: 3.676 8.754 13.814 Å, 90.00 90.00 90.00°
Atoms (fractional coordinates):
Tb  0.250  0.677  0.969
Tb  0.750  0.497  0.606
Tb  0.250  0.177  0.531
Tb  0.750  0.190  0.306
Tb  0.250  0.503  0.394
Tb  0.250  0.810  0.694
Tb  0.250  0.310  0.806
Tb  0.750  0.823  0.469
Tb  0.250  0.003  0.106
Tb  0.750  0.690  0.194
Tb  0.750  0.997  0.894
Tb  0.750  0.323  0.031
Pd  0.750  0.594  0.814
Pd  0.250  0.906  0.314
Pd  0.250  0.406  0.186
Pd  0.750  0.094  0.686
C  0.750  0.838  0.047
C  0.750  0.338  0.453
C  0.250  0.662  0.547
C  0.250  0.162  0.953

Results
The energy relative to the lowest polymorph listed for this composition is 0.0 meV/atom. For the total energy, the calculation gives -6.138 eV/atom. The space-group type is No. 62. The volume is 22.224 Å³/atom.

---

No. 5
First-principles (PBE) data for a relaxed structure of Tb3PdC, as listed in the Alexandria database.

Cell: 4.864 4.864 4.864 Å, 90.00 90.00 90.00°
Atoms (fractional coordinates):
Pd  0.500  0.500  0.500
Tb  0.500  0.000  0.000
Tb  0.000  0.000  0.500
Tb  0.000  0.500  0.000
C  0.000  0.000  0.000

Results
The energy relative to the lowest polymorph listed for this composition is 163.3 meV/atom. For the total energy, the calculation gives -5.974 eV/atom. The space-group type is No. 221. The volume is 23.022 Å³/atom.

---

No. 6
First-principles (PBE) data for a relaxed structure of Tb2PdC, as listed in the Alexandria database.

Cell: 3.667 3.667 7.225 Å, 75.30 75.30 60.00°
Atoms (fractional coordinates):
C  0.500  0.500  0.500
Tb  0.767  0.767  0.700
Tb  0.233  0.233  0.300
Pd  0.000  0.000  0.000

Results
For the total energy, the calculation gives -6.374 eV/atom. The space-group type is No. 166. The volume is 20.109 Å³/atom.

---

No. 7
First-principles (PBE) data for a relaxed structure of TcPdC2, as listed in the Alexandria database.

Cell: 3.850 3.850 3.850 Å, 60.00 60.00 60.00°
Atoms (fractional coordinates):
Pd  0.500  0.500  0.500
Tc  0.000  0.000  0.000
C  0.250  0.250  0.250
C  0.750  0.750  0.750

Results
The energy relative to the lowest polymorph listed for this composition is 737.0 meV/atom. For the total energy, the calculation gives -7.068 eV/atom. The space-group type is No. 225. The volume is 10.085 Å³/atom.

---

No. 8
First-principles (PBE) data for a relaxed structure of Tc2PdC, as listed in the Alexandria database.

Cell: 2.847 2.847 7.973 Å, 79.72 79.72 60.00°
Atoms (fractional coordinates):
Tc  0.112  0.112  0.663
Tc  0.888  0.888  0.337
Pd  0.000  0.000  0.000
C  0.500  0.500  0.500

Results
For the total energy, the calculation gives -8.322 eV/atom. The space-group type is No. 166. The volume is 13.690 Å³/atom.

---

No. 9
First-principles (PBE) data for a relaxed structure of TcPdC2, as listed in the Alexandria database.

Cell: 4.682 4.682 5.723 Å, 65.85 65.85 90.00°
Atoms (fractional coordinates):
Tc  0.500  0.500  0.000
Tc  0.250  0.750  0.500
Pd  0.750  0.250  0.500
Pd  0.000  0.000  0.000
C  0.154  0.625  0.250
C  0.596  0.125  0.250
C  0.375  0.404  0.750
C  0.875  0.846  0.750

Results
The energy relative to the lowest polymorph listed for this composition is 0.0 meV/atom. For the total energy, the calculation gives -7.805 eV/atom. The space-group type is No. 122. The volume is 12.793 Å³/atom.

---

No. 10
First-principles (PBE) data for a relaxed structure of TcPdC, as listed in the Alexandria database.

Cell: 3.406 3.417 8.587 Å, 101.62 90.00 119.90°
Atoms (fractional coordinates):
Tc  0.873  0.746  0.118
Tc  0.127  0.254  0.882
Pd  0.295  0.590  0.386
Pd  0.705  0.410  0.614
C  0.785  0.570  0.855
C  0.215  0.430  0.145

Results
For the total energy, the calculation gives -7.999 eV/atom. The space-group type is No. 12. The volume is 14.043 Å³/atom.

---

No. 11
First-principles (PBE) data for a relaxed structure of Tc2PdC, as listed in the Alexandria database.

Cell: 4.717 4.717 6.694 Å, 69.37 69.37 90.00°
Atoms (fractional coordinates):
Tc  0.239  0.625  0.250
Tc  0.875  0.761  0.750
Tc  0.375  0.489  0.750
Tc  0.511  0.125  0.250
Pd  0.000  0.000  0.000
Pd  0.750  0.250  0.500
C  0.250  0.750  0.500
C  0.500  0.500  0.000

Results
For the total energy, the calculation gives -7.892 eV/atom. The space-group type is No. 122. The volume is 16.143 Å³/atom.

---

No. 12
First-principles (PBE) data for a relaxed structure of Y2TcPdC, as listed in the Alexandria database.

Cell: 4.941 4.941 3.930 Å, 90.00 90.00 90.00°
Atoms (fractional coordinates):
Pd  0.500  0.500  0.500
C  0.000  0.000  0.000
Tc  0.000  0.000  0.500
Y  0.500  0.000  0.000
Y  0.000  0.500  0.000

Results
For the total energy, the calculation gives -7.947 eV/atom. The space-group type is No. 123. The volume is 19.185 Å³/atom.